No. 1
# ThZn6Cu12 GGA-PBE optimized geometry
data_ThZn6Cu12
_chemical_formula_sum 'Th3 Zn18 Cu36'
_symmetry_space_group_name_H-M 'R -3 m'
_symmetry_Int_Tables_number 166
_symmetry_space_group_name_Hall '-R 3 2"'
_cell_length_a 10.6129
_cell_length_b 10.6129
_cell_length_c 8.6765
_cell_angle_alpha 90.00
_cell_angle_beta 90.00
_cell_angle_gamma 120.00
loop_
_atom_site_label
_atom_site_type_symbol
_atom_site_fract_x
_atom_site_fract_y
_atom_site_fract_z
_atom_site_occupancy
Th1 Th 0.0000 0.0000 0.0000 1
Zn1 Zn 0.0573 0.5286 0.2448 1
Cu1 Cu 0.0000 0.3895 0.5000 1
Cu2 Cu 0.0861 0.1723 0.2884 1
# Calculated total energy   -3.336 eV/atom



No. 2
# PrThCdPb GGA-PBE optimized geometry
data_PrThCdPb
_chemical_formula_sum 'Pr4 Th4 Cd4 Pb4'
_symmetry_space_group_name_H-M 'F -4 3 m'
_symmetry_Int_Tables_number 216
_symmetry_space_group_name_Hall 'F -4 2 3'
_cell_length_a 7.8242
_cell_length_b 7.8242
_cell_length_c 7.8242
_cell_angle_alpha 90.00
_cell_angle_beta 90.00
_cell_angle_gamma 90.00
loop_
_atom_site_label
_atom_site_type_symbol
_atom_site_fract_x
_atom_site_fract_y
_atom_site_fract_z
_atom_site_occupancy
Pr1 Pr 0.0000 0.0000 0.0000 1
Th1 Th 0.0000 0.0000 0.5000 1
Cd1 Cd 0.2500 0.2500 0.2500 1
Pb1 Pb 0.2500 0.2500 0.7500 1
# Calculated total energy   -4.454 eV/atom



No. 3
# TlNi2Ag GGA-PBE optimized geometry
data_TlNi2Ag
_chemical_formula_sum 'Tl2 Ni4 Ag2'
_symmetry_space_group_name_H-M 'C 1 m 1'
_symmetry_Int_Tables_number 8
_cell_length_a 9.6470
_cell_length_b 2.9822
_cell_length_c 4.5862
_cell_angle_alpha 90.00
_cell_angle_beta 107.90
_cell_angle_gamma 90.00
loop_
_symmetry_equiv_pos_as_xyz
'x,y,z'
'x,-y,z'
'x+1/2,y+1/2,z'
'x+1/2,-y+1/2,z'
loop_
_atom_site_label
_atom_site_type_symbol
_atom_site_fract_x
_atom_site_fract_y
_atom_site_fract_z
_atom_site_occupancy
Tl1 Tl 0.0000 0.0000 0.0000 1
Ni1 Ni 0.2547 0.5000 0.1883 1
Ni2 Ni 0.4623 0.0000 0.4733 1
Ag1 Ag 0.2180 0.0000 0.6560 1
# Energy relative to the lowest polymorph listed for this composition   44 meV per atom



No. 4
# TmAlCoRh GGA-PBE optimized geometry
data_TmAlCoRh
_chemical_formula_sum 'Tm4 Al4 Co4 Rh4'
_symmetry_space_group_name_H-M 'F -4 3 m'
_symmetry_Int_Tables_number 216
_symmetry_space_group_name_Hall 'F -4 2 3'
_cell_length_a 6.2903
_cell_length_b 6.2903
_cell_length_c 6.2903
_cell_angle_alpha 90.00
_cell_angle_beta 90.00
_cell_angle_gamma 90.00
loop_
_atom_site_label
_atom_site_type_symbol
_atom_site_fract_x
_atom_site_fract_y
_atom_site_fract_z
_atom_site_occupancy
Tm1 Tm 0.0000 0.0000 0.0000 1
Al1 Al 0.0000 0.0000 0.5000 1
Co1 Co 0.2500 0.2500 0.7500 1
Rh1 Rh 0.2500 0.2500 0.2500 1
# Calculated total energy   -6.312 eV/atom



No. 5
# Hf2CdPb GGA-PBE optimized geometry
data_Hf2CdPb
_chemical_formula_sum 'Hf2 Cd1 Pb1'
_symmetry_space_group_name_H-M 'P 4/m m m'
_symmetry_Int_Tables_number 123
_symmetry_space_group_name_Hall '-P 4 2'
_cell_length_a 3.7966
_cell_length_b 3.7966
_cell_length_c 6.2311
_cell_angle_alpha 90.00
_cell_angle_beta 90.00
_cell_angle_gamma 90.00
loop_
_atom_site_label
_atom_site_type_symbol
_atom_site_fract_x
_atom_site_fract_y
_atom_site_fract_z
_atom_site_occupancy
Hf1 Hf 0.0000 0.0000 0.2464 1
Cd1 Cd 0.5000 0.5000 0.5000 1
Pb1 Pb 0.5000 0.5000 0.0000 1
# Energy relative to the lowest polymorph listed for this composition   83 meV per atom



No. 6
# AcPr2NdDy GGA-PBE optimized geometry
data_AcPr2NdDy
_chemical_formula_sum 'Ac4 Pr8 Nd4 Dy4'
_symmetry_space_group_name_H-M 'C m c m'
_symmetry_Int_Tables_number 63
_symmetry_space_group_name_Hall '-C 2c 2'
_cell_length_a 8.3798
_cell_length_b 12.3311
_cell_length_c 7.4810
_cell_angle_alpha 90.00
_cell_angle_beta 90.00
_cell_angle_gamma 90.00
loop_
_atom_site_label
_atom_site_type_symbol
_atom_site_fract_x
_atom_site_fract_y
_atom_site_fract_z
_atom_site_occupancy
Ac1 Ac 0.0000 0.2418 0.2500 1
Pr1 Pr 0.1973 0.5000 0.0000 1
Nd1 Nd 0.0000 0.0593 0.7500 1
Dy1 Dy 0.0000 0.3066 0.7500 1
# Calculated total energy   -4.273 eV/atom



The records above yield calculated volume values of 14.8, 29.9, 15.7, 15.6, 22.5, 38.7 Å³/atom, respectively.